VASP calculation (PBE-GGA) on crystalline Li2TiNb at its relaxed geometry.

Results
The value obtained for the formation energy from the elements is 626.3 meV/atom. Its energy above the most stable polymorph in this dataset is 8.4 kJ per mole of atoms.

```
data_Li2TiNb
_symmetry_space_group_name_H-M 'I -4 2 d'
_symmetry_Int_Tables_number 122
_symmetry_space_group_name_Hall 'I -4 2bw'
_cell_length_a 7.290
_cell_length_b 7.290
_cell_length_c 4.906
_cell_angle_alpha 90.00
_cell_angle_beta 90.00
_cell_angle_gamma 90.00
loop_
_atom_site_label
_atom_site_type_symbol
_atom_site_fract_x
_atom_site_fract_y
_atom_site_fract_z
_atom_site_occupancy
Li1 Li 0.242 0.250 0.125 1
Ti1 Ti 0.000 0.000 0.000 1
Nb1 Nb 0.000 0.000 0.500 1
```

VASP calculation (PBE-GGA) on crystalline Ti6Ga3Sn at its relaxed geometry.

Results
The value obtained for the formation energy from the elements is -160.6 meV/atom.

```
data_Ti6Ga3Sn
_symmetry_space_group_name_H-M 'C m c 21'
_symmetry_Int_Tables_number 36
_cell_length_a 8.788
_cell_length_b 12.954
_cell_length_c 6.425
_cell_angle_alpha 90.00
_cell_angle_beta 90.00
_cell_angle_gamma 90.00
loop_
_symmetry_equiv_pos_as_xyz
'x,y,z'
'-x,-y,z+1/2'
'-x,y,z'
'x,-y,z+1/2'
'x+1/2,y+1/2,z'
'-x+1/2,-y+1/2,z+1/2'
'-x+1/2,y+1/2,z'
'x+1/2,-y+1/2,z+1/2'
loop_
_atom_site_label
_atom_site_type_symbol
_atom_site_fract_x
_atom_site_fract_y
_atom_site_fract_z
_atom_site_occupancy
Ti1 Ti 0.000 0.042 0.000 1
Ti2 Ti 0.000 0.285 0.811 1
Ti3 Ti 0.219 0.447 0.819 1
Ti4 Ti 0.247 0.300 0.521 1
Ga1 Ga 0.000 0.443 0.519 1
Ga2 Ga 0.164 0.115 0.676 1
Sn1 Sn 0.000 0.189 0.313 1
```

VASP calculation (PBE-GGA) on crystalline LiTbDy at its relaxed geometry.

Results
The value obtained for the formation energy from the elements is 50.3 meV/atom. Its energy above the most stable polymorph in this dataset is 0.0 kJ per mole of atoms.

```
data_LiTbDy
_symmetry_space_group_name_H-M 'P 4/n m m'
_symmetry_Int_Tables_number 129
_cell_length_a 3.598
_cell_length_b 3.598
_cell_length_c 12.843
_cell_angle_alpha 90.00
_cell_angle_beta 90.00
_cell_angle_gamma 90.00
loop_
_symmetry_equiv_pos_as_xyz
'x,y,z'
'-x,-y,-z'
'-y+1/2,x,z'
'y+1/2,-x,-z'
'-x+1/2,-y+1/2,z'
'x+1/2,y+1/2,-z'
'y,-x+1/2,z'
'-y,x+1/2,-z'
'x+1/2,-y,-z'
'-x+1/2,y,z'
'-y,-x,-z'
'y,x,z'
'-x,y+1/2,-z'
'x,-y+1/2,z'
'y+1/2,x+1/2,-z'
'-y+1/2,-x+1/2,z'
loop_
_atom_site_label
_atom_site_type_symbol
_atom_site_fract_x
_atom_site_fract_y
_atom_site_fract_z
_atom_site_occupancy
Li1 Li 0.250 0.250 0.051 1
Tb1 Tb 0.250 0.250 0.783 1
Dy1 Dy 0.250 0.250 0.402 1
```

VASP calculation (PBE-GGA) on crystalline LaRhN2F at its relaxed geometry.

Results
Its energy above the most stable polymorph in this dataset is 0.0 kJ per mole of atoms.

```
data_LaRhN2F
_symmetry_space_group_name_H-M 'P 4/m m m'
_symmetry_Int_Tables_number 123
_symmetry_space_group_name_Hall '-P 4 2'
_cell_length_a 3.980
_cell_length_b 3.980
_cell_length_c 4.246
_cell_angle_alpha 90.00
_cell_angle_beta 90.00
_cell_angle_gamma 90.00
loop_
_atom_site_label
_atom_site_type_symbol
_atom_site_fract_x
_atom_site_fract_y
_atom_site_fract_z
_atom_site_occupancy
La1 La 0.000 0.000 0.000 1
Rh1 Rh 0.500 0.500 0.500 1
N1 N 0.000 0.500 0.500 1
F1 F 0.500 0.500 0.000 1
```

VASP calculation (PBE-GGA) on crystalline PmNpTe2 at its relaxed geometry.

Results
Its energy above the most stable polymorph in this dataset is 4.2 kJ per mole of atoms.

```
data_PmNpTe2
_symmetry_space_group_name_H-M 'F m -3 m'
_symmetry_Int_Tables_number 225
_symmetry_space_group_name_Hall '-F 4 2 3'
_cell_length_a 7.663
_cell_length_b 7.663
_cell_length_c 7.663
_cell_angle_alpha 90.00
_cell_angle_beta 90.00
_cell_angle_gamma 90.00
loop_
_atom_site_label
_atom_site_type_symbol
_atom_site_fract_x
_atom_site_fract_y
_atom_site_fract_z
_atom_site_occupancy
Pm1 Pm 0.000 0.000 0.000 1
Np1 Np 0.000 0.000 0.500 1
Te1 Te 0.250 0.250 0.250 1
```

VASP calculation (PBE-GGA) on crystalline Ac6CoHg3Pt2 at its relaxed geometry.

Results
The value obtained for the formation energy from the elements is -616.8 meV/atom.

```
data_Ac6CoHg3Pt2
_symmetry_space_group_name_H-M 'C 1 2/m 1'
_symmetry_Int_Tables_number 12
_cell_length_a 7.514
_cell_length_b 12.987
_cell_length_c 8.570
_cell_angle_alpha 90.00
_cell_angle_beta 106.96
_cell_angle_gamma 90.00
loop_
_symmetry_equiv_pos_as_xyz
'x,y,z'
'-x,-y,-z'
'-x,y,-z'
'x,-y,z'
'x+1/2,y+1/2,z'
'-x+1/2,-y+1/2,-z'
'-x+1/2,y+1/2,-z'
'x+1/2,-y+1/2,z'
loop_
_atom_site_label
_atom_site_type_symbol
_atom_site_fract_x
_atom_site_fract_y
_atom_site_fract_z
_atom_site_occupancy
Ac1 Ac 0.228 0.160 0.202 1
Ac2 Ac 0.249 0.500 0.209 1
Co1 Co 0.000 0.000 0.000 1
Hg1 Hg 0.000 0.176 0.500 1
Hg2 Hg 0.000 0.500 0.500 1
Pt1 Pt 0.000 0.335 0.000 1
```

VASP calculation (PBE-GGA) on crystalline Pm3PuSe4 at its relaxed geometry.

Results
Its energy above the most stable polymorph in this dataset is 0.4 kJ per mole of atoms.

```
data_Pm3PuSe4
_symmetry_space_group_name_H-M 'P m -3 m'
_symmetry_Int_Tables_number 221
_symmetry_space_group_name_Hall '-P 4 2 3'
_cell_length_a 5.918
_cell_length_b 5.918
_cell_length_c 5.918
_cell_angle_alpha 90.00
_cell_angle_beta 90.00
_cell_angle_gamma 90.00
loop_
_atom_site_label
_atom_site_type_symbol
_atom_site_fract_x
_atom_site_fract_y
_atom_site_fract_z
_atom_site_occupancy
Pm1 Pm 0.000 0.000 0.500 1
Pu1 Pu 0.500 0.500 0.500 1
Se1 Se 0.000 0.000 0.000 1
Se2 Se 0.000 0.500 0.500 1
```

VASP calculation (PBE-GGA) on crystalline Si2NiCl at its relaxed geometry.

Results
Its energy above the most stable polymorph in this dataset is 24.6 kJ per mole of atoms.

```
data_Si2NiCl
_symmetry_space_group_name_H-M 'P m m 2'
_symmetry_Int_Tables_number 25
_cell_length_a 3.082
_cell_length_b 3.629
_cell_length_c 6.280
_cell_angle_alpha 90.00
_cell_angle_beta 90.00
_cell_angle_gamma 90.00
loop_
_symmetry_equiv_pos_as_xyz
'x,y,z'
'-x,-y,z'
'-x,y,z'
'x,-y,z'
loop_
_atom_site_label
_atom_site_type_symbol
_atom_site_fract_x
_atom_site_fract_y
_atom_site_fract_z
_atom_site_occupancy
Si1 Si 0.000 0.000 0.000 1
Si2 Si 0.000 0.500 0.237 1
Ni1 Ni 0.500 0.000 0.298 1
Cl1 Cl 0.500 0.000 0.700 1
```

VASP calculation (PBE-GGA) on crystalline WSe2I at its relaxed geometry.

Results
Its energy above the most stable polymorph in this dataset is 13.1 kJ per mole of atoms.

```
data_WSe2I
_symmetry_space_group_name_H-M 'P 1'
_symmetry_Int_Tables_number 1
_cell_length_a 5.629
_cell_length_b 7.188
_cell_length_c 7.898
_cell_angle_alpha 107.84
_cell_angle_beta 99.06
_cell_angle_gamma 102.00
loop_
_symmetry_equiv_pos_as_xyz
'x,y,z'
loop_
_atom_site_label
_atom_site_type_symbol
_atom_site_fract_x
_atom_site_fract_y
_atom_site_fract_z
_atom_site_occupancy
W1 W 0.000 0.000 0.000 1
W2 W 0.497 0.037 0.896 1
Se1 Se 0.075 0.797 0.729 1
Se2 Se 0.572 0.096 0.618 1
Se3 Se 0.594 0.752 0.951 1
Se4 Se 0.907 0.286 0.902 1
I1 I 0.089 0.859 0.292 1
I2 I 0.446 0.301 0.204 1
```

VASP calculation (PBE-GGA) on crystalline Nb2VZnH at its relaxed geometry.

Results
The calculation puts the total energy at -6.844 eV per atom.

```
data_Nb2VZnH
_symmetry_space_group_name_H-M 'P 4/m m m'
_symmetry_Int_Tables_number 123
_symmetry_space_group_name_Hall '-P 4 2'
_cell_length_a 4.254
_cell_length_b 4.254
_cell_length_c 3.675
_cell_angle_alpha 90.00
_cell_angle_beta 90.00
_cell_angle_gamma 90.00
loop_
_atom_site_label
_atom_site_type_symbol
_atom_site_fract_x
_atom_site_fract_y
_atom_site_fract_z
_atom_site_occupancy
Nb1 Nb 0.000 0.500 0.000 1
V1 V 0.000 0.000 0.500 1
Zn1 Zn 0.500 0.500 0.500 1
H1 H 0.000 0.000 0.000 1
```

VASP calculation (PBE-GGA) on crystalline Na10B17C3 at its relaxed geometry.

Results
The value obtained for the formation energy from the elements is 235.3 meV/atom. Its energy above the most stable polymorph in this dataset is 2.9 kJ per mole of atoms.

```
data_Na10B17C3
_symmetry_space_group_name_H-M 'A m m 2'
_symmetry_Int_Tables_number 38
_cell_length_a 8.640
_cell_length_b 14.953
_cell_length_c 5.083
_cell_angle_alpha 90.00
_cell_angle_beta 90.00
_cell_angle_gamma 90.00
loop_
_symmetry_equiv_pos_as_xyz
'x,y,z'
'-x,-y,z'
'-x,y,z'
'x,-y,z'
'x,y+1/2,z+1/2'
'-x,-y+1/2,z+1/2'
'-x,y+1/2,z+1/2'
'x,-y+1/2,z+1/2'
loop_
_atom_site_label
_atom_site_type_symbol
_atom_site_fract_x
_atom_site_fract_y
_atom_site_fract_z
_atom_site_occupancy
Na1 Na 0.249 0.200 0.000 1
Na2 Na 0.250 0.000 0.005 1
Na3 Na 0.250 0.100 0.503 1
B1 B 0.000 0.000 0.346 1
B2 B 0.000 0.000 0.687 1
B3 B 0.000 0.096 0.176 1
B4 B 0.000 0.104 0.836 1
B5 B 0.000 0.198 0.660 1
B6 B 0.000 0.203 0.319 1
B7 B 0.500 0.000 0.665 1
B8 B 0.500 0.094 0.166 1
B9 B 0.500 0.192 0.700 1
B10 B 0.500 0.201 0.321 1
C1 C 0.500 0.000 0.328 1
C2 C 0.500 0.095 0.829 1
```

VASP calculation (PBE-GGA) on crystalline Pr2Nd2YHo2 at its relaxed geometry.

Results
The value obtained for the formation energy from the elements is 18.5 meV/atom.

```
data_Pr2Nd2YHo2
_symmetry_space_group_name_H-M 'C 1 2/m 1'
_symmetry_Int_Tables_number 12
_cell_length_a 11.488
_cell_length_b 5.140
_cell_length_c 8.122
_cell_angle_alpha 90.00
_cell_angle_beta 98.28
_cell_angle_gamma 90.00
loop_
_symmetry_equiv_pos_as_xyz
'x,y,z'
'-x,-y,-z'
'-x,y,-z'
'x,-y,z'
'x+1/2,y+1/2,z'
'-x+1/2,-y+1/2,-z'
'-x+1/2,y+1/2,-z'
'x+1/2,-y+1/2,z'
loop_
_atom_site_label
_atom_site_type_symbol
_atom_site_fract_x
_atom_site_fract_y
_atom_site_fract_z
_atom_site_occupancy
Pr1 Pr 0.072 0.000 0.219 1
Nd1 Nd 0.144 0.500 0.928 1
Y1 Y 0.000 0.500 0.500 1
Ho1 Ho 0.215 0.000 0.640 1
```